Record 1
Below is crystalline MnVRh5 at its relaxed geometry, with properties calculated at the GGA-PBE level.

Summary:
For the theoretical density, the calculation gives 9911 kg/m3. Its formation energy from the elements is -7 meV per atom.

POSCAR file:
```
MnVRh5
1.0
-3.355 1.293 1.594
-1.913 -0.861 -3.326
-1.272 -6.175 2.330
Rh Mn V
5 1 1
Direct
0.000 0.500 0.218
0.500 0.000 0.782
0.500 0.000 0.218
0.000 0.500 0.782
0.500 0.500 0.500
0.000 0.000 0.500
0.500 0.500 0.000
```



Record 2
Below is crystalline KPtRh3 at its relaxed geometry, with properties calculated at the GGA-PBE level.

Summary:
For the theoretical density, the calculation gives 9185 kg/m3. Its formation energy from the elements is 2342 meV per atom.

POSCAR file:
```
KPtRh3
1.0
-3.867 2.132 -1.334
-1.892 -0.853 4.120
1.657 4.000 1.590
Rh Pt K
3 1 1
Direct
0.000 0.000 0.500
0.000 0.500 0.000
0.500 0.000 0.000
0.500 0.500 0.500
0.000 0.000 0.000
```



Which value of theoretical density does entry 1 give? 9911 kg/m3



What is the formula in the first record? MnVRh5